# 1
Here is an optimized crystal structure of Ca2ZrSb from Alexandria via LeMat-Bulk. Energies are from GGA-PBE.

```
data_Ca2ZrSb
_cell_length_a 8.998
_cell_length_b 8.998
_cell_length_c 6.131
_cell_angle_alpha 90.00
_cell_angle_beta 90.00
_cell_angle_gamma 90.00
_symmetry_space_group_name_H-M 'I -4 2 d'
_symmetry_Int_Tables_number 122
_symmetry_space_group_name_Hall 'I -4 2bw'
loop_
_atom_site_label
_atom_site_fract_x
_atom_site_fract_y
_atom_site_fract_z
Ca1 0.214 0.250 0.125
Zr1 0.000 0.000 0.500
Sb1 0.000 0.000 0.000
```



# 2
Here is an optimized crystal structure of Th4PS2 from Alexandria via LeMat-Bulk. Energies are from GGA-PBE.

```
data_Th4PS2
_cell_length_a 15.439
_cell_length_b 3.971
_cell_length_c 6.850
_cell_angle_alpha 90.00
_cell_angle_beta 116.26
_cell_angle_gamma 90.00
_symmetry_space_group_name_H-M 'C 1 2/m 1'
_symmetry_Int_Tables_number 12
loop_
_symmetry_equiv_pos_as_xyz
'x,y,z'
'-x,-y,-z'
'-x,y,-z'
'x,-y,z'
'x+1/2,y+1/2,z'
'-x+1/2,-y+1/2,-z'
'-x+1/2,y+1/2,-z'
'x+1/2,-y+1/2,z'
loop_
_atom_site_label
_atom_site_fract_x
_atom_site_fract_y
_atom_site_fract_z
Th1 0.123 0.000 0.286
Th2 0.123 0.500 0.794
P1 0.000 0.500 0.000
S1 0.245 0.000 0.745
```



# 3
# RbZn2InRu GGA-PBE relaxed
data_RbZn2InRu
_cell_length_a 5.023
_cell_length_b 5.023
_cell_length_c 5.172
_cell_angle_alpha 90.00
_cell_angle_beta 90.00
_cell_angle_gamma 90.00
_symmetry_space_group_name_H-M 'P 4/m m m'
_symmetry_Int_Tables_number 123
_symmetry_space_group_name_Hall '-P 4 2'
loop_
_atom_site_label
_atom_site_fract_x
_atom_site_fract_y
_atom_site_fract_z
Rb1 0.000 0.000 0.000
Zn1 0.000 0.500 0.500
In1 0.500 0.500 0.000
Ru1 0.500 0.500 0.500
# DFT formation energy in meV per atom: 62



# 4
# BaLiTlB2 GGA-PBE relaxed
data_BaLiTlB2
_cell_length_a 5.149
_cell_length_b 5.149
_cell_length_c 6.358
_cell_angle_alpha 90.00
_cell_angle_beta 90.00
_cell_angle_gamma 90.00
_symmetry_space_group_name_H-M 'P 4/m m m'
_symmetry_Int_Tables_number 123
_symmetry_space_group_name_Hall '-P 4 2'
loop_
_atom_site_label
_atom_site_fract_x
_atom_site_fract_y
_atom_site_fract_z
Ba1 0.000 0.000 0.000
Li1 0.500 0.500 0.500
Tl1 0.000 0.000 0.500
B1 0.000 0.500 0.000
# DFT formation energy in meV per atom: 1897



# 5
# BaNa3Sr3 GGA-PBE relaxed
data_BaNa3Sr3
_cell_length_a 12.5996
_cell_length_b 12.5996
_cell_length_c 7.6225
_cell_angle_alpha 90.00
_cell_angle_beta 90.00
_cell_angle_gamma 120.00
_symmetry_space_group_name_H-M 'R 3 m'
_symmetry_Int_Tables_number 160
_symmetry_space_group_name_Hall 'R 3 -2"'
loop_
_atom_site_label
_atom_site_fract_x
_atom_site_fract_y
_atom_site_fract_z
Ba1 0.0000 0.0000 0.0000
Na1 0.1683 0.3366 0.9527
Sr1 0.0728 0.5364 0.1542
# DFT formation energy in meV per atom: 78



# 6
Here is an optimized crystal structure of NbRhSe2 from Alexandria via LeMat-Bulk. Energies are from GGA-PBE.

```
data_NbRhSe2
_cell_length_a 5.743
_cell_length_b 5.743
_cell_length_c 11.217
_cell_angle_alpha 90.00
_cell_angle_beta 90.00
_cell_angle_gamma 90.00
_symmetry_space_group_name_H-M 'I -4 2 d'
_symmetry_Int_Tables_number 122
_symmetry_space_group_name_Hall 'I -4 2bw'
loop_
_atom_site_label
_atom_site_fract_x
_atom_site_fract_y
_atom_site_fract_z
Nb1 0.000 0.000 0.000
Rh1 0.000 0.000 0.500
Se1 0.240 0.250 0.625
```



# 7
# Ta2Nb5Ga GGA-PBE relaxed
data_Ta2Nb5Ga
_cell_length_a 4.665
_cell_length_b 4.665
_cell_length_c 13.274
_cell_angle_alpha 90.00
_cell_angle_beta 90.00
_cell_angle_gamma 90.00
_symmetry_space_group_name_H-M 'I 4/m m m'
_symmetry_Int_Tables_number 139
_symmetry_space_group_name_Hall '-I 4 2'
loop_
_atom_site_label
_atom_site_fract_x
_atom_site_fract_y
_atom_site_fract_z
Ta1 0.000 0.000 0.248
Nb1 0.000 0.000 0.000
Nb2 0.000 0.500 0.126
Ga1 0.000 0.000 0.500
# DFT formation energy in meV per atom: -53



# 8
Here is an optimized crystal structure of ScTlSb2 from Alexandria via LeMat-Bulk. Energies are from GGA-PBE.

```
data_ScTlSb2
_cell_length_a 6.683
_cell_length_b 6.683
_cell_length_c 13.496
_cell_angle_alpha 90.00
_cell_angle_beta 90.00
_cell_angle_gamma 90.00
_symmetry_space_group_name_H-M 'I -4 2 d'
_symmetry_Int_Tables_number 122
_symmetry_space_group_name_Hall 'I -4 2bw'
loop_
_atom_site_label
_atom_site_fract_x
_atom_site_fract_y
_atom_site_fract_z
Sc1 0.000 0.000 0.000
Tl1 0.000 0.000 0.500
Sb1 0.240 0.250 0.125
```



# 9
# PmTaCo GGA-PBE relaxed
data_PmTaCo
_cell_length_a 4.398
_cell_length_b 4.398
_cell_length_c 6.424
_cell_angle_alpha 90.00
_cell_angle_beta 90.00
_cell_angle_gamma 90.00
_symmetry_space_group_name_H-M 'P 4/n m m'
_symmetry_Int_Tables_number 129
loop_
_symmetry_equiv_pos_as_xyz
'x,y,z'
'-x,-y,-z'
'-y+1/2,x,z'
'y+1/2,-x,-z'
'-x+1/2,-y+1/2,z'
'x+1/2,y+1/2,-z'
'y,-x+1/2,z'
'-y,x+1/2,-z'
'x+1/2,-y,-z'
'-x+1/2,y,z'
'-y,-x,-z'
'y,x,z'
'-x,y+1/2,-z'
'x,-y+1/2,z'
'y+1/2,x+1/2,-z'
'-y+1/2,-x+1/2,z'
loop_
_atom_site_label
_atom_site_fract_x
_atom_site_fract_y
_atom_site_fract_z
Pm1 0.250 0.250 0.122
Ta1 0.250 0.750 0.500
Co1 0.250 0.250 0.680
# DFT formation energy in meV per atom: -132



# 10
# Th2NbPt GGA-PBE relaxed
data_Th2NbPt
_cell_length_a 3.4645
_cell_length_b 3.4645
_cell_length_c 30.4148
_cell_angle_alpha 90.00
_cell_angle_beta 90.00
_cell_angle_gamma 120.00
_symmetry_space_group_name_H-M 'R -3 m'
_symmetry_Int_Tables_number 166
_symmetry_space_group_name_Hall '-R 3 2"'
loop_
_atom_site_label
_atom_site_fract_x
_atom_site_fract_y
_atom_site_fract_z
Th1 0.0000 0.0000 0.0946
Nb1 0.0000 0.0000 0.0000
Pt1 0.0000 0.0000 0.5000
# DFT formation energy in meV per atom: 236



# 11
# Ho12NiPt6 GGA-PBE relaxed
data_Ho12NiPt6
_cell_length_a 12.4559
_cell_length_b 12.4559
_cell_length_c 11.5388
_cell_angle_alpha 90.00
_cell_angle_beta 90.00
_cell_angle_gamma 120.00
_symmetry_space_group_name_H-M 'R -3'
_symmetry_Int_Tables_number 148
_symmetry_space_group_name_Hall '-R 3'
loop_
_atom_site_label
_atom_site_fract_x
_atom_site_fract_y
_atom_site_fract_z
Ho1 0.0294 0.8130 0.3936
Ho2 0.0436 0.8397 0.8862
Ni1 0.0000 0.0000 0.0000
Pt1 0.0470 0.7814 0.6477
# DFT formation energy in meV per atom: -845



# 12
Here is an optimized crystal structure of TmTh2MnN5 from Alexandria via LeMat-Bulk. Energies are from GGA-PBE.

```
data_TmTh2MnN5
_cell_length_a 6.698
_cell_length_b 6.698
_cell_length_c 5.693
_cell_angle_alpha 90.00
_cell_angle_beta 90.00
_cell_angle_gamma 90.00
_symmetry_space_group_name_H-M 'P 4/m b m'
_symmetry_Int_Tables_number 127
_symmetry_space_group_name_Hall '-P 4 2ab'
loop_
_atom_site_label
_atom_site_fract_x
_atom_site_fract_y
_atom_site_fract_z
Tm1 0.000 0.000 0.000
Th1 0.170 0.330 0.500
Mn1 0.000 0.500 0.000
N1 0.000 0.000 0.500
N2 0.142 0.642 0.225
```



# 13
Here is an optimized crystal structure of Ba6Zn2O from Alexandria via LeMat-Bulk. Energies are from GGA-PBE.

```
data_Ba6Zn2O
_cell_length_a 15.565
_cell_length_b 4.376
_cell_length_c 12.849
_cell_angle_alpha 90.00
_cell_angle_beta 110.72
_cell_angle_gamma 90.00
_symmetry_space_group_name_H-M 'C 1 2/m 1'
_symmetry_Int_Tables_number 12
loop_
_symmetry_equiv_pos_as_xyz
'x,y,z'
'-x,-y,-z'
'-x,y,-z'
'x,-y,z'
'x+1/2,y+1/2,z'
'-x+1/2,-y+1/2,-z'
'-x+1/2,y+1/2,-z'
'x+1/2,-y+1/2,z'
loop_
_atom_site_label
_atom_site_fract_x
_atom_site_fract_y
_atom_site_fract_z
Ba1 0.019 0.000 0.304
Ba2 0.148 0.500 0.050
Ba3 0.176 0.000 0.603
Zn1 0.177 0.500 0.806
O1 0.000 0.000 0.500
```



# 14
# YZrW2 GGA-PBE relaxed
data_YZrW2
_cell_length_a 5.845
_cell_length_b 9.834
_cell_length_c 2.892
_cell_angle_alpha 90.00
_cell_angle_beta 109.09
_cell_angle_gamma 90.00
_symmetry_space_group_name_H-M 'C 1 2/m 1'
_symmetry_Int_Tables_number 12
loop_
_symmetry_equiv_pos_as_xyz
'x,y,z'
'-x,-y,-z'
'-x,y,-z'
'x,-y,z'
'x+1/2,y+1/2,z'
'-x+1/2,-y+1/2,-z'
'-x+1/2,y+1/2,-z'
'x+1/2,-y+1/2,z'
loop_
_atom_site_label
_atom_site_fract_x
_atom_site_fract_y
_atom_site_fract_z
Y1 0.000 0.000 0.000
Zr1 0.000 0.500 0.000
W1 0.250 0.250 0.500
# DFT formation energy in meV per atom: 507



# 15
# LiAcZn3 GGA-PBE relaxed
data_LiAcZn3
_cell_length_a 5.446
_cell_length_b 6.477
_cell_length_c 6.249
_cell_angle_alpha 90.00
_cell_angle_beta 101.44
_cell_angle_gamma 90.00
_symmetry_space_group_name_H-M 'P 1 21/m 1'
_symmetry_Int_Tables_number 11
loop_
_symmetry_equiv_pos_as_xyz
'x,y,z'
'-x,-y,-z'
'-x,y+1/2,-z'
'x,-y+1/2,z'
loop_
_atom_site_label
_atom_site_fract_x
_atom_site_fract_y
_atom_site_fract_z
Li1 0.183 0.250 0.422
Ac1 0.233 0.750 0.237
Zn1 0.264 0.549 0.739
Zn2 0.326 0.250 0.047
# DFT formation energy in meV per atom: -214



# 16
# CaSn2HgIr GGA-PBE relaxed
data_CaSn2HgIr
_cell_length_a 5.109
_cell_length_b 5.109
_cell_length_c 5.583
_cell_angle_alpha 90.00
_cell_angle_beta 90.00
_cell_angle_gamma 90.00
_symmetry_space_group_name_H-M 'P 4/m m m'
_symmetry_Int_Tables_number 123
_symmetry_space_group_name_Hall '-P 4 2'
loop_
_atom_site_label
_atom_site_fract_x
_atom_site_fract_y
_atom_site_fract_z
Ca1 0.000 0.000 0.000
Sn1 0.000 0.500 0.500
Hg1 0.500 0.500 0.000
Ir1 0.000 0.000 0.500
# DFT formation energy in meV per atom: -231



# 17
# LaCePm2Sm6 GGA-PBE relaxed
data_LaCePm2Sm6
_cell_length_a 11.505
_cell_length_b 6.872
_cell_length_c 9.023
_cell_angle_alpha 90.00
_cell_angle_beta 105.23
_cell_angle_gamma 90.00
_symmetry_space_group_name_H-M 'C 1 2/m 1'
_symmetry_Int_Tables_number 12
loop_
_symmetry_equiv_pos_as_xyz
'x,y,z'
'-x,-y,-z'
'-x,y,-z'
'x,-y,z'
'x+1/2,y+1/2,z'
'-x+1/2,-y+1/2,-z'
'-x+1/2,y+1/2,-z'
'x+1/2,-y+1/2,z'
loop_
_atom_site_label
_atom_site_fract_x
_atom_site_fract_y
_atom_site_fract_z
La1 0.000 0.000 0.000
Ce1 0.000 0.500 0.500
Pm1 0.088 0.000 0.663
Sm1 0.128 0.500 0.916
Sm2 0.176 0.239 0.304
# DFT formation energy in meV per atom: 231



# 18
# Tm5Al2Bi2 GGA-PBE relaxed
data_Tm5Al2Bi2
_cell_length_a 15.534
_cell_length_b 7.947
_cell_length_c 7.955
_cell_angle_alpha 90.00
_cell_angle_beta 90.00
_cell_angle_gamma 90.00
_symmetry_space_group_name_H-M 'C m c e'
_symmetry_Int_Tables_number 64
_symmetry_space_group_name_Hall '-C 2ac 2'
loop_
_atom_site_label
_atom_site_fract_x
_atom_site_fract_y
_atom_site_fract_z
Tm1 0.000 0.000 0.000
Tm2 0.128 0.170 0.330
Al1 0.000 0.123 0.622
Bi1 0.208 0.000 0.000
# DFT formation energy in meV per atom: -565



# 19
# Zn2CoIr GGA-PBE relaxed
data_Zn2CoIr
_cell_length_a 2.846
_cell_length_b 2.846
_cell_length_c 6.652
_cell_angle_alpha 90.00
_cell_angle_beta 90.00
_cell_angle_gamma 90.00
_symmetry_space_group_name_H-M 'P 4 m m'
_symmetry_Int_Tables_number 99
loop_
_symmetry_equiv_pos_as_xyz
'x,y,z'
'-y,x,z'
'-x,-y,z'
'y,-x,z'
'-x,y,z'
'y,x,z'
'x,-y,z'
'-y,-x,z'
loop_
_atom_site_label
_atom_site_fract_x
_atom_site_fract_y
_atom_site_fract_z
Zn1 0.000 0.000 0.000
Zn2 0.500 0.500 0.274
Co1 0.000 0.000 0.503
Ir1 0.500 0.500 0.740
# DFT formation energy in meV per atom: -47



# 20
# Ca3TlP GGA-PBE relaxed
data_Ca3TlP
_cell_length_a 4.029
_cell_length_b 19.697
_cell_length_c 7.244
_cell_angle_alpha 90.00
_cell_angle_beta 90.00
_cell_angle_gamma 90.00
_symmetry_space_group_name_H-M 'C m c m'
_symmetry_Int_Tables_number 63
_symmetry_space_group_name_Hall '-C 2c 2'
loop_
_atom_site_label
_atom_site_fract_x
_atom_site_fract_y
_atom_site_fract_z
Ca1 0.000 0.098 0.028
Ca2 0.000 0.275 0.250
Tl1 0.000 0.478 0.250
P1 0.000 0.323 0.750
# DFT formation energy in meV per atom: -654



# 21
# KZn2Rh GGA-PBE relaxed
data_KZn2Rh
_cell_length_a 6.725
_cell_length_b 6.725
_cell_length_c 6.725
_cell_angle_alpha 90.00
_cell_angle_beta 90.00
_cell_angle_gamma 90.00
_symmetry_space_group_name_H-M 'F m -3 m'
_symmetry_Int_Tables_number 225
_symmetry_space_group_name_Hall '-F 4 2 3'
loop_
_atom_site_label
_atom_site_fract_x
_atom_site_fract_y
_atom_site_fract_z
K1 0.000 0.000 0.000
Zn1 0.250 0.250 0.250
Rh1 0.000 0.000 0.500
# DFT formation energy in meV per atom: 329



# 22
Here is an optimized crystal structure of MgSb2Ir2 from Alexandria via LeMat-Bulk. Energies are from GGA-PBE.

```
data_MgSb2Ir2
_cell_length_a 4.405
_cell_length_b 4.405
_cell_length_c 11.240
_cell_angle_alpha 90.00
_cell_angle_beta 90.00
_cell_angle_gamma 90.00
_symmetry_space_group_name_H-M 'I 4/m m m'
_symmetry_Int_Tables_number 139
_symmetry_space_group_name_Hall '-I 4 2'
loop_
_atom_site_label
_atom_site_fract_x
_atom_site_fract_y
_atom_site_fract_z
Mg1 0.000 0.000 0.000
Sb1 0.000 0.500 0.250
Ir1 0.000 0.000 0.384
```



# 23
# LiCoPtRh GGA-PBE relaxed
data_LiCoPtRh
_cell_length_a 5.934
_cell_length_b 5.934
_cell_length_c 5.934
_cell_angle_alpha 90.00
_cell_angle_beta 90.00
_cell_angle_gamma 90.00
_symmetry_space_group_name_H-M 'F -4 3 m'
_symmetry_Int_Tables_number 216
_symmetry_space_group_name_Hall 'F -4 2 3'
loop_
_atom_site_label
_atom_site_fract_x
_atom_site_fract_y
_atom_site_fract_z
Li1 0.000 0.000 0.000
Co1 0.000 0.000 0.500
Pt1 0.250 0.250 0.250
Rh1 0.250 0.250 0.750
# DFT formation energy in meV per atom: -156



# 24
# NaTlIn2Ir GGA-PBE relaxed
data_NaTlIn2Ir
_cell_length_a 5.160
_cell_length_b 5.160
_cell_length_c 5.546
_cell_angle_alpha 90.00
_cell_angle_beta 90.00
_cell_angle_gamma 90.00
_symmetry_space_group_name_H-M 'P 4/m m m'
_symmetry_Int_Tables_number 123
_symmetry_space_group_name_Hall '-P 4 2'
loop_
_atom_site_label
_atom_site_fract_x
_atom_site_fract_y
_atom_site_fract_z
Na1 0.000 0.000 0.000
Tl1 0.500 0.500 0.000
In1 0.000 0.500 0.500
Ir1 0.000 0.000 0.500
# DFT formation energy in meV per atom: 54



# 25
# CaLaAu2 GGA-PBE relaxed
data_CaLaAu2
_cell_length_a 4.360
_cell_length_b 4.360
_cell_length_c 6.139
_cell_angle_alpha 90.00
_cell_angle_beta 90.00
_cell_angle_gamma 90.00
_symmetry_space_group_name_H-M 'P 4/m m m'
_symmetry_Int_Tables_number 123
_symmetry_space_group_name_Hall '-P 4 2'
loop_
_atom_site_label
_atom_site_fract_x
_atom_site_fract_y
_atom_site_fract_z
Ca1 0.000 0.000 0.000
La1 0.500 0.500 0.500
Au1 0.000 0.000 0.500
Au2 0.500 0.500 0.000
# DFT formation energy in meV per atom: -719



Per-record DFT total energy, eV per atom: -4.0633 -7.5016 -3.0439 -2.0146 -1.4823 -6.2401 -9.6879 -4.3542 -8.0349 -7.5014 -5.9477 -8.7377 -2.6153 -9.7227 -2.1828 -4.0651 -4.6364 -4.7437 -4.6754 -3.4097 -2.4204 -5.4219 -5.7589 -3.5503 -4.0902
Per-record N(E_F), states/eV/cell: 16.7 10.7 1.8 4.7 22.2 11.0 21.3 0.0 5.8 14.8 55.3 10.7 18.0 9.3 4.3 4.2 44.8 20.5 1.4 7.4 7.0 7.2 16.7 2.4 4.0